Entry 1:
Density functional theory data (PBE) for a relaxed structure of Li2PtF8.

Geometry as POSCAR:
```
Li2PtF8
1.0
4.4363 -3.3447 0.0000
4.4363 3.3447 0.0000
-1.3914 0.0000 4.6653
Li Pt F
2 1 8
Cartesian
0.8515 0.0000 1.6588 Li
6.6297 0.0000 3.0065 Li
4.4363 0.0000 0.0000 Pt
-0.2902 0.0000 3.2397 F
2.1962 1.3398 3.5550 F
2.8822 0.0000 1.1283 F
5.2849 1.3398 1.1103 F
2.1962 -1.3398 3.5550 F
4.5989 0.0000 3.5370 F
5.2849 -1.3398 1.1103 F
7.7713 0.0000 1.4256 F
```

Values from the calculation:
total energy: -3.97 eV per atom
uncorrected formation energy: -39.4 kcal/mol of atoms

Entry 2:
Density functional theory data (PBE) for a relaxed structure of Li2PtF5.

Geometry as POSCAR:
```
Li2PtF5
1.0
4.4966 0.0000 0.0000
2.1291 4.6235 0.0000
2.2091 0.1527 4.6771
Li Pt F
2 1 5
Cartesian
0.0000 0.0000 0.0000 Li
2.2519 0.9692 1.7368 Li
4.5788 2.0518 3.5251 Pt
2.3182 2.7835 0.6251 F
4.5117 3.8838 2.7430 F
4.6493 0.3399 4.5736 F
4.6555 1.0844 1.7473 F
6.8300 1.8821 3.5125 F
```

Values from the calculation:
total energy: -4.46 eV per atom
uncorrected formation energy: -47.4 kcal/mol of atoms

Entry 3:
Density functional theory data (PBE) for a relaxed structure of Li2PtF6.

Geometry as POSCAR:
```
Li2PtF6
1.0
4.7273 0.0000 0.0000
0.0000 4.7273 0.0000
0.0000 0.0000 9.3138
Li Pt F
4 2 12
Cartesian
0.0000 0.0000 1.5235 Li
0.0000 0.0000 7.7903 Li
2.3636 2.3636 3.1334 Li
2.3636 2.3636 6.1805 Li
0.0000 0.0000 4.6569 Pt
2.3636 2.3636 0.0000 Pt
0.9102 0.9102 3.1567 F
0.9102 0.9102 6.1572 F
0.9671 0.9671 0.0000 F
1.3965 3.3308 4.6569 F
1.4534 3.2739 1.5003 F
1.4534 3.2739 7.8136 F
3.2739 1.4534 1.5003 F
3.2739 1.4534 7.8136 F
3.3308 1.3965 4.6569 F
3.7601 3.7601 0.0000 F
3.8171 3.8171 3.1567 F
3.8171 3.8171 6.1572 F
```

Values from the calculation:
total energy: -4.48 eV per atom
uncorrected formation energy: -49.2 kcal/mol of atoms

Entry 4:
Density functional theory data (PBE) for a relaxed structure of LiPtF.

Geometry as POSCAR:
```
LiPtF
1.0
4.2569 0.0000 0.0000
0.0000 2.7331 0.0000
0.0000 0.0000 15.2979
Li Pt F
4 4 4
Cartesian
1.0640 0.6833 0.5058 Li
1.0645 2.0499 8.1548 Li
3.1924 0.6833 7.1432 Li
3.1930 2.0499 14.7921 Li
1.0496 0.6833 10.8888 Pt
1.0789 2.0499 3.2398 Pt
3.1780 0.6833 12.0581 Pt
3.2074 2.0499 4.4092 Pt
1.0646 0.6833 6.9515 F
1.0639 2.0499 14.6005 F
3.1930 0.6833 0.6974 F
3.1923 2.0499 8.3464 F
```

Values from the calculation:
total energy: -4.64 eV per atom
uncorrected formation energy: -31.5 kcal/mol of atoms
ΔE to the lowest computed polymorph: 337 meV/atom

Entry 5:
Density functional theory data (PBE) for a relaxed structure of Li3PtF6.

Geometry as POSCAR:
```
Li3PtF6
1.0
5.0643 0.0000 0.0000
0.2401 5.2524 0.0000
1.1994 2.3957 4.7254
Li Pt F
3 1 6
Cartesian
0.0000 0.0000 0.0000 Li
0.7197 3.8240 2.3627 Li
2.5322 0.0000 0.0000 Li
3.1319 1.1978 2.3627 Pt
1.7199 5.5689 1.5999 F
2.2078 3.1409 3.3023 F
2.8261 6.0817 4.2621 F
3.6777 1.5664 0.4633 F
4.2960 4.5072 1.4231 F
4.7839 2.0792 3.1254 F
```

Values from the calculation:
total energy: -4.43 eV per atom
uncorrected formation energy: -49.2 kcal/mol of atoms

Entry 6:
Density functional theory data (PBE) for a relaxed structure of LiPtF.

Geometry as POSCAR:
```
LiPtF
1.0
3.9058 0.0000 0.0000
-1.9529 3.3825 0.0000
0.0000 0.0000 6.9681
Li Pt F
2 2 2
Cartesian
0.0000 0.0000 0.0000 Li
0.0000 0.0000 3.4841 Li
0.0000 2.2550 1.7420 Pt
1.9529 1.1275 5.2261 Pt
0.0000 2.2550 5.2261 F
1.9529 1.1275 1.7420 F
```

Values from the calculation:
total energy: -3.57 eV per atom
uncorrected formation energy: -6.8 kcal/mol of atoms
ΔE to the lowest computed polymorph: 1409 meV/atom

Entry 7:
Density functional theory data (PBE) for a relaxed structure of LiPtF4.

Geometry as POSCAR:
```
LiPtF4
1.0
-3.1419 3.1419 2.4385
3.1419 -3.1419 2.4385
3.1419 3.1419 -2.4385
Li Pt F
1 1 4
Cartesian
0.0000 0.0000 0.0000 Li
0.0000 3.1419 1.2192 Pt
2.4789 1.8181 -1.2408 F
0.6630 1.3238 1.1976 F
1.3238 -0.6630 3.6793 F
1.8181 3.8050 1.2408 F
```

Values from the calculation:
total energy: -4.28 eV per atom
uncorrected formation energy: -39.4 kcal/mol of atoms

Entry 8:
Density functional theory data (PBE) for a relaxed structure of LiPtF.

Geometry as POSCAR:
```
LiPtF
1.0
0.0000 2.8143 2.8143
2.8143 0.0000 2.8143
2.8143 2.8143 0.0000
Li Pt F
1 1 1
Cartesian
0.0000 0.0000 0.0000 Li
2.8143 2.8143 2.8143 Pt
1.4072 1.4072 1.4072 F
```

Values from the calculation:
total energy: -3.53 eV per atom
uncorrected formation energy: -6.0 kcal/mol of atoms
ΔE to the lowest computed polymorph: 1444 meV/atom